# 1
TcNi2Ag | Alexandria via LeMat-Bulk | PBE | relaxed; VASP energy = -22.59 eV/cell; excess energy over the best structure of this formula in the dataset = 439 meV/atom; space group = No. 216; total magnetic moment = 0.00 μB/cell; D(E_F) = 2.904 states/eV per cell
1.0
4.259 0.000 0.000
2.129 3.688 0.000
2.129 1.229 3.477
Ag Ni Tc
1 2 1
Cartesian
4.259 2.459 1.739
0.000 0.000 0.000
2.129 1.229 0.869
6.388 3.688 2.608

=====

# 2
K6Rb4Cd | Alexandria via LeMat-Bulk | PBE | relaxed; VASP energy = -21.88 eV/cell; space group = No. 128; total magnetic moment = 0.00 μB/cell; D(E_F) = 16.510 states/eV per cell
1.0
11.509 0.000 0.000
0.000 11.509 0.000
0.000 0.000 12.089
K Rb Cd
12 8 2
Cartesian
3.510 9.955 6.044
9.265 7.308 0.000
7.308 2.244 0.000
1.554 3.510 6.044
0.000 0.000 2.275
5.754 5.754 3.770
4.201 9.265 0.000
0.000 0.000 9.814
2.244 4.201 0.000
5.754 5.754 8.319
9.955 7.998 6.044
7.998 1.554 6.044
4.110 1.644 3.022
1.644 7.398 9.066
7.398 9.865 9.066
9.865 4.110 9.066
4.110 1.644 9.066
1.644 7.398 3.022
9.865 4.110 3.022
7.398 9.865 3.022
5.754 5.754 0.000
0.000 0.000 6.044

=====

# 3
ZnTeAsN2 | Alexandria via LeMat-Bulk | PBE | relaxed; VASP energy = -19.89 eV/cell; excess energy over the best structure of this formula in the dataset = 0 meV/atom; space group = No. 123; formation energy without anion corrections = 1164 meV/atom; total magnetic moment = 0.74 μB/cell; D(E_F) = 1.623 states/eV per cell
1.0
3.755 0.000 0.000
0.000 3.755 0.000
0.000 0.000 6.998
As Te Zn N
1 1 1 2
Cartesian
0.000 0.000 0.000
0.000 0.000 3.499
1.877 1.877 3.499
0.000 1.877 0.000
1.877 0.000 0.000

=====

# 4
Au2SeI8 | Alexandria via LeMat-Bulk | PBE | relaxed; VASP energy = -22.30 eV/cell; space group = No. 2; formation energy without anion corrections = 12 meV/atom; total magnetic moment = 0.00 μB/cell; D(E_F) = 1.603 states/eV per cell
1.0
9.635 -0.353 -0.205
-5.077 5.774 -2.034
-0.339 -1.625 11.058
Au Se I
2 1 8
Cartesian
4.934 3.208 4.614
-0.715 0.588 4.205
0.000 0.000 0.000
7.584 0.084 1.679
2.207 0.057 1.707
-3.365 3.713 7.140
-0.593 3.281 4.136
2.012 3.740 7.112
3.596 3.297 2.284
0.624 0.500 6.535
4.813 0.516 4.683

=====

# 5
Cd2TcBr | Alexandria via LeMat-Bulk | PBE | relaxed; VASP energy = -11.95 eV/cell; excess energy over the best structure of this formula in the dataset = 237 meV/atom; space group = No. 71; formation energy without anion corrections = 480 meV/atom; total magnetic moment = 1.70 μB/cell; D(E_F) = 3.300 states/eV per cell
1.0
-6.471 0.195 -3.179
-4.452 -4.769 -3.075
3.991 2.825 5.302
Tc Br Cd
1 1 2
Cartesian
-3.971 0.367 -0.502
-2.961 -2.115 -0.450
-10.277 -4.303 -5.884
-6.108 -2.557 -3.497

=====

# 6
Tb2Nd4Dy2Tm | Alexandria via LeMat-Bulk | PBE | relaxed; VASP energy = -41.82 eV/cell; space group = No. 12; total magnetic moment = 0.00 μB/cell; D(E_F) = 13.789 states/eV per cell
1.0
-1.003 -4.919 0.886
1.221 0.968 -7.913
7.200 -0.841 3.480
Tb Nd Dy Tm
2 4 2 1
Cartesian
2.432 -3.896 -4.215
4.986 -0.896 0.668
4.711 -3.850 -1.378
2.707 -0.942 -2.169
1.961 -2.900 0.784
5.458 -1.892 -4.332
0.482 -0.995 -4.980
6.936 -3.798 1.432
0.000 0.000 0.000

=====

# 7
B2P2O7 | Alexandria via LeMat-Bulk | PBE | relaxed; VASP energy = -162.86 eV/cell; space group = No. 5; formation energy without anion corrections = -2050 meV/atom; total magnetic moment = 0.00 μB/cell; D(E_F) = 0.000 states/eV per cell
1.0
4.698 0.030 -0.714
-0.780 4.633 -0.714
2.071 2.465 13.276
B P O
4 4 14
Cartesian
2.374 2.992 4.338
2.415 3.041 0.872
4.731 4.958 11.589
2.957 2.847 6.897
1.944 0.980 2.582
5.487 3.489 7.900
4.324 3.813 2.628
4.535 2.355 10.587
0.987 3.349 3.807
1.582 1.902 1.411
2.739 1.678 3.703
-0.211 5.207 2.605
5.081 3.614 11.531
2.198 2.809 8.056
2.445 3.122 -0.502
3.773 2.908 1.507
3.353 4.010 3.799
1.824 4.346 1.403
5.471 2.535 9.243
2.300 2.949 5.712
4.637 5.712 10.431
4.341 2.733 6.956

=====

# 8
Hf2CuPd2 | Alexandria via LeMat-Bulk | PBE | relaxed; VASP energy = -73.27 eV/cell; excess energy over the best structure of this formula in the dataset = 0 meV/atom; space group = No. 65; total magnetic moment = 0.00 μB/cell; D(E_F) = 5.867 states/eV per cell
1.0
3.303 0.000 0.000
0.000 3.563 0.000
0.000 0.000 15.270
Hf Cu Pd
4 2 4
Cartesian
1.652 1.781 1.593
1.652 1.781 13.677
1.652 0.000 6.042
1.652 3.563 9.228
0.000 1.781 7.635
0.000 0.000 0.000
0.000 1.781 4.849
0.000 1.781 10.421
0.000 0.000 2.786
0.000 3.563 12.484

=====

# 9
CrCu2Cl | Alexandria via LeMat-Bulk | PBE | relaxed; VASP energy = -17.59 eV/cell; excess energy over the best structure of this formula in the dataset = 374 meV/atom; space group = No. 119; formation energy without anion corrections = 519 meV/atom; total magnetic moment = 4.44 μB/cell; D(E_F) = 1.625 states/eV per cell
1.0
-2.110 2.715 2.799
-3.871 -1.208 -1.794
2.752 -3.093 1.587
Cr Cu Cl
1 2 1
Cartesian
-1.174 0.188 2.444
0.000 0.000 0.000
-2.054 -1.774 0.148
-2.990 0.754 0.503

=====

# 10
HoIn3Hg | Alexandria via LeMat-Bulk | PBE | relaxed; VASP energy = -26.95 eV/cell; excess energy over the best structure of this formula in the dataset = 19 meV/atom; space group = No. 63; total magnetic moment = 0.00 μB/cell; D(E_F) = 5.323 states/eV per cell
1.0
5.665 0.000 0.000
0.000 7.015 -1.794
0.000 0.828 7.194
Ho In Hg
2 6 2
Cartesian
1.416 2.517 4.741
4.248 5.327 0.659
1.416 7.135 0.952
1.416 4.408 -0.925
4.248 3.436 6.325
4.248 0.709 4.448
0.000 0.000 0.000
2.832 0.000 0.000
1.416 4.275 2.187
4.248 3.568 3.213

=====

# 11
MnSbTe2 | Alexandria via LeMat-Bulk | PBE | relaxed; VASP energy = -18.59 eV/cell; space group = No. 65; formation energy without anion corrections = 247 meV/atom; total magnetic moment = 2.53 μB/cell; D(E_F) = 3.826 states/eV per cell
1.0
3.277 0.000 0.000
-0.006 3.277 0.000
0.000 0.000 9.190
Mn Sb Te
1 1 2
Cartesian
1.636 1.639 2.298
1.636 1.639 6.893
0.000 0.000 0.630
0.000 0.000 3.966

=====

# 12
TiBOF2 | Alexandria via LeMat-Bulk | PBE | relaxed; VASP energy = -30.07 eV/cell; excess energy over the best structure of this formula in the dataset = 19 meV/atom; space group = No. 123; formation energy without anion corrections = -1359 meV/atom; total magnetic moment = 1.71 μB/cell; D(E_F) = 1.861 states/eV per cell
1.0
-1.357 -3.667 -1.937
-0.466 -1.890 3.905
-2.501 0.863 0.119
B F O Ti
1 2 1 1
Cartesian
0.000 0.000 0.000
-0.233 -0.945 1.953
-0.679 -1.834 -0.969
-1.251 0.432 0.060
-2.163 -2.347 1.044

=====

# 13
ScPSN2 | Alexandria via LeMat-Bulk | PBE | relaxed; VASP energy = -27.37 eV/cell; excess energy over the best structure of this formula in the dataset = 1015 meV/atom; space group = No. 123; formation energy without anion corrections = 1030 meV/atom; total magnetic moment = 1.53 μB/cell; D(E_F) = 3.123 states/eV per cell
1.0
4.104 0.000 0.000
0.000 4.104 0.000
0.000 0.000 5.167
Sc P S N
1 1 1 2
Cartesian
0.000 0.000 0.000
2.052 2.052 2.584
0.000 0.000 2.584
0.000 2.052 0.000
2.052 0.000 0.000

=====

# 14
NpGaAg | Alexandria via LeMat-Bulk | PBE | relaxed; VASP energy = -37.89 eV/cell; space group = No. 63; total magnetic moment = 1.40 μB/cell; D(E_F) = 8.591 states/eV per cell
1.0
-3.669 2.487 -0.692
-1.563 -2.848 -1.945
-0.840 -3.622 5.978
Np Ga Ag
2 2 2
Cartesian
-4.097 -2.997 3.144
-2.722 -1.045 2.867
-1.716 -3.025 4.958
-1.434 -3.503 1.745
-2.425 -1.509 -0.379
-3.555 1.089 0.411

=====

# 15
Hg2Os3 | Alexandria via LeMat-Bulk | PBE | relaxed; VASP energy = -30.60 eV/cell; excess energy over the best structure of this formula in the dataset = 5 meV/atom; space group = No. 164; total magnetic moment = 0.00 μB/cell; D(E_F) = 3.494 states/eV per cell
1.0
0.116 0.348 2.828
-0.208 -2.620 -1.107
11.884 -0.775 -0.393
Hg Os
2 3
Cartesian
2.437 -0.800 1.436
9.355 -2.247 -0.108
0.000 0.000 0.000
6.953 -1.094 1.287
4.839 -1.953 0.042

=====

# 16
NaMg3Zn | Alexandria via LeMat-Bulk | PBE | relaxed; VASP energy = -3.59 eV/cell; excess energy over the best structure of this formula in the dataset = 627 meV/atom; space group = No. 221; total magnetic moment = 0.00 μB/cell; D(E_F) = 2.480 states/eV per cell
1.0
5.506 0.000 0.000
0.000 5.506 0.000
0.000 0.000 5.506
Na Zn Mg
1 1 3
Cartesian
0.000 0.000 0.000
2.753 2.753 2.753
0.000 2.753 0.000
0.000 0.000 2.753
2.753 0.000 0.000

=====

# 17
DyCd2Ni | Alexandria via LeMat-Bulk | PBE | relaxed; VASP energy = -10.97 eV/cell; space group = No. 166; total magnetic moment = 0.00 μB/cell; D(E_F) = 3.292 states/eV per cell
1.0
3.154 0.000 0.000
1.577 2.732 0.000
1.577 0.911 10.286
Ni Cd Dy
1 2 1
Cartesian
3.154 1.821 5.143
1.577 0.911 7.132
4.731 2.732 3.154
0.000 0.000 0.000

=====

# 18
Mn2Be | Alexandria via LeMat-Bulk | PBE | relaxed; VASP energy = -80.74 eV/cell; space group = No. 205; total magnetic moment = 9.27 μB/cell; D(E_F) = 16.493 states/eV per cell
1.0
-3.262 -3.292 1.996
3.641 -3.488 0.198
1.250 1.568 4.630
Be Mn
4 8
Cartesian
0.000 0.000 0.000
0.190 -3.390 1.097
-1.006 -0.862 3.313
2.446 -0.960 2.414
0.704 -3.670 3.102
0.926 -1.543 3.722
3.546 -2.479 3.332
-1.917 -2.733 3.492
-0.592 -1.471 1.359
2.222 -3.741 5.465
-0.399 -2.804 5.856
2.028 -2.408 0.968

=====

# 19
Hf3Ga4Rh2 | Alexandria via LeMat-Bulk | PBE | relaxed; VASP energy = -62.16 eV/cell; space group = No. 12; total magnetic moment = 0.00 μB/cell; D(E_F) = 4.742 states/eV per cell
1.0
-1.329 1.007 3.872
0.140 -5.460 -0.827
7.184 3.114 1.657
Hf Ga Rh
3 4 2
Cartesian
4.056 1.159 3.386
0.000 0.000 0.000
1.938 -2.497 1.315
-0.448 -1.412 2.508
6.443 0.073 2.193
3.288 -1.925 3.924
2.707 0.587 0.777
1.663 -0.147 2.904
4.331 -1.192 1.797

=====

# 20
Na2Sm2Cl7 | Alexandria via LeMat-Bulk | PBE | relaxed; VASP energy = -46.10 eV/cell; space group = No. 12; formation energy without anion corrections = -1918 meV/atom; total magnetic moment = 0.91 μB/cell; D(E_F) = 1.675 states/eV per cell
1.0
6.833 0.127 0.291
0.281 6.640 2.780
0.231 -0.703 7.166
Na Sm Cl
2 2 7
Cartesian
3.684 4.731 4.103
3.661 1.333 6.133
6.759 4.672 7.899
0.587 1.392 2.337
1.998 5.718 6.148
5.368 3.382 2.275
5.347 0.346 4.088
1.978 2.682 7.961
0.000 0.000 0.000
5.353 3.531 5.973
1.993 2.533 4.264